A relaxed NaCd2InBr6 crystal. Source: Alexandria via LeMat-Bulk, functional PBE-GGA.

Output
Its uncorrected formation energy is -934 meV/atom. The value obtained for the raw total energy is -2.526 eV per atom. The value obtained for the density of states at the Fermi level is 0.000 states/eV/atom. The calculation puts the theoretical density at 3.8 g cm⁻³. As for the space group: C2/c (15).

Cell: 7.541 9.992 9.992 Å, 88.12 83.63 83.63°
Atoms (fractional coordinates):
Br1 0.343 0.225 0.019
Br2 0.602 0.146 0.618
Br3 0.896 0.709 0.561
Br4 0.398 0.854 0.382
Br5 0.657 0.775 0.981
Br6 0.898 0.382 0.854
Br7 0.396 0.561 0.709
Br8 0.604 0.439 0.291
Br9 0.104 0.291 0.439
Br10 0.843 0.019 0.225
Br11 0.102 0.618 0.146
Br12 0.157 0.981 0.775
Cd1 0.719 0.605 0.784
Cd2 0.219 0.784 0.605
Cd3 0.781 0.216 0.395
Cd4 0.281 0.395 0.216
Na1 0.750 0.723 0.277
Na2 0.250 0.277 0.723
In1 0.750 0.096 0.904
In2 0.250 0.904 0.096